Material: KSrPO2
Method: DFT, PBE
State: relaxed

Results
- formation energy (no corrections) (kJ/mol of atoms) = 11.7
- distance to the lowest polymorph of the same formula (meV per atom) = 488
- crystal system = tetragonal
- SG = No. 123

Structure (POSCAR):
```
KSrPO2
1.0
-0.5420 -4.1704 -2.1683
-0.8664 -2.0567 4.1722
-5.1422 0.9739 -0.5877
Sr K O P
1 1 2 1
Cartesian
-3.2753 -2.6266 0.7081 Sr
0.0000 0.0000 0.0000 K
-0.4332 -1.0283 2.0861 O
-0.2710 -2.0852 -1.0842 O
-2.5711 0.4870 -0.2939 P
```


Material: KTaPO6
Method: DFT, PBE
State: relaxed

Results
- formation energy (no corrections) (kJ/mol of atoms) = -198.4
- crystal system = trigonal
- SG = No. 149

Structure (POSCAR):
```
KTaPO6
1.0
5.0552 0.0001 0.0000
2.5277 4.3779 0.0000
0.0001 -0.0002 5.9393
K Ta P O
1 1 1 6
Cartesian
5.0552 -0.0001 5.9392 K
2.5276 1.4592 2.9696 Ta
5.0553 2.9186 2.9696 P
5.8808 1.7854 1.9721 O
4.4867 4.2001 3.9670 O
4.2297 1.7853 3.9671 O
6.4494 2.7701 3.9670 O
3.6610 2.7702 1.9720 O
5.6238 4.2001 1.9721 O
```


Material: KTaPO2
Method: DFT, PBE
State: relaxed

Results
- formation energy (no corrections) (kJ/mol of atoms) = 128.7
- distance to the lowest polymorph of the same formula (meV per atom) = 2778
- crystal system = tetragonal
- SG = No. 123

Structure (POSCAR):
```
KTaPO2
1.0
3.9512 0.0000 0.0000
0.0000 3.9512 0.0000
0.0000 0.0000 5.5006
P K O Ta
1 1 2 1
Cartesian
0.0000 0.0000 2.7503 P
0.0000 0.0000 0.0000 K
0.0000 1.9756 0.0000 O
1.9756 0.0000 0.0000 O
1.9756 1.9756 2.7503 Ta
```


Material: KTaPO2
Method: DFT, PBE
State: relaxed

Results
- formation energy (no corrections) (kJ/mol of atoms) = -139.3
- distance to the lowest polymorph of the same formula (meV per atom) = 0
- crystal system = tetragonal
- SG = No. 123

Structure (POSCAR):
```
KTaPO2
1.0
-3.0894 -0.0093 2.6538
-0.5059 -3.9960 -0.6029
3.2404 -0.9789 3.7689
P K O Ta
1 1 2 1
Cartesian
1.6202 -0.4894 1.8844 P
-0.1774 -2.4921 2.9099 K
-0.2530 -1.9980 -0.3014 O
-1.5447 -0.0046 1.3269 O
0.0000 0.0000 0.0000 Ta
```


Material: KTaP2O8
Method: DFT, PBE
State: relaxed

Results
- formation energy (no corrections) (kJ/mol of atoms) = -238.7
- crystal system = monoclinic
- SG = No. 12

Structure (POSCAR):
```
KTaP2O8
1.0
-0.8308 2.1233 4.5671
2.1433 -2.2097 4.0720
6.7755 4.7334 -0.7257
P K O Ta
2 1 8 1
Cartesian
2.2670 0.9329 5.4533 P
5.8209 3.7142 2.4602 P
3.3877 2.3667 -0.3628 K
1.6272 0.3441 6.7628 O
6.9753 2.9051 3.1513 O
4.5973 2.9001 2.2346 O
2.5208 -0.3096 4.5277 O
1.1127 1.7419 4.7622 O
6.4607 4.3029 1.1506 O
3.4906 1.7469 5.6788 O
5.5672 4.9567 3.3857 O
0.0000 0.0000 0.0000 Ta
```


Material: KTaP2O
Method: DFT, PBE
State: relaxed

Results
- formation energy (no corrections) (kJ/mol of atoms) = -65.9
- distance to the lowest polymorph of the same formula (meV per atom) = 0
- crystal system = tetragonal
- SG = No. 123

Structure (POSCAR):
```
KTaP2O
1.0
-3.2862 2.2436 -3.0615
-3.0964 0.7574 3.8787
1.7528 3.5348 0.7090
P K O Ta
2 1 1 1
Cartesian
-1.5482 0.3787 1.9394 P
-1.6431 1.1218 -1.5307 P
-2.3149 3.2679 0.7631 K
0.8764 1.7674 0.3545 O
0.0000 0.0000 0.0000 Ta
```


Material: KTaP2O
Method: DFT, PBE
State: relaxed

Results
- formation energy (no corrections) (kJ/mol of atoms) = 175.9
- distance to the lowest polymorph of the same formula (meV per atom) = 2505
- crystal system = tetragonal
- SG = No. 123

Structure (POSCAR):
```
KTaP2O
1.0
4.9673 0.0000 0.0000
0.0000 4.9673 0.0000
0.0000 0.0000 3.8598
P K O Ta
2 1 1 1
Cartesian
0.0000 2.4837 0.0000 P
2.4837 0.0000 0.0000 P
0.0000 0.0000 0.0000 K
0.0000 0.0000 1.9299 O
2.4837 2.4837 1.9299 Ta
```


Material: KTaP2O8
Method: DFT, PBE
State: relaxed

Results
- formation energy (no corrections) (kJ/mol of atoms) = -236.9
- crystal system = trigonal
- SG = No. 166

Structure (POSCAR):
```
KTaP2O8
1.0
5.2477 0.0000 0.0000
2.6238 4.5446 0.0000
2.6238 1.5149 8.5308
K Ta P O
1 1 2 8
Cartesian
0.0000 0.0000 0.0000 K
5.2477 3.0297 4.2654 Ta
7.8715 4.5446 6.0362 P
2.6238 1.5149 2.4947 P
7.8715 4.5446 7.5269 O
2.6238 1.5149 1.0039 O
3.8675 2.2328 3.1110 O
6.6279 3.8266 5.4198 O
3.8675 3.8267 5.4198 O
5.2476 4.6235 3.1110 O
6.6279 2.2329 3.1110 O
5.2476 1.4360 5.4198 O
```


Number 1: DOS at the Fermi energy 4.02 states/eV/cell. Number 2: DOS at the Fermi energy 3.10 states/eV/cell. Number 3: DOS at the Fermi energy 3.26 states/eV/cell. Number 4: DOS at the Fermi energy 2.19 states/eV/cell. Number 5: DOS at the Fermi energy 0.00 states/eV/cell. Number 6: DOS at the Fermi energy 4.56 states/eV/cell. Number 7: DOS at the Fermi energy 6.66 states/eV/cell. Number 8: DOS at the Fermi energy 0.00 states/eV/cell.